[1]
Below is a geometry-optimized MnSiSCl2 structure, with properties calculated at the PBEsol level.

Summary:
magnetization	5.13	μB/f.u.
E_form (uncorrected)	65.1	meV per atom
E above lowest polymorph	0.321	eV per formula unit
symmetry	No. 123

Structure (extended XYZ):
```
5
Lattice="4.6290 0.0000 0.0000 0.0000 4.6290 0.0000 0.0000 0.0000 4.7149" Properties=species:S:1:pos:R:3 pbc="T T T"
Mn 0.0000 0.0000 0.0000
Si 2.3145 2.3145 2.3575
S 2.3145 2.3145 0.0000
Cl 0.0000 2.3145 2.3575
Cl 2.3145 0.0000 2.3575
```



[2]
Below is a geometry-optimized MnSiS2Cl structure, with properties calculated at the PBEsol level.

Summary:
magnetization	3.88	μB/f.u.
E_form (uncorrected)	105.4	meV per atom
symmetry	No. 123

Structure (extended XYZ):
```
5
Lattice="4.5956 0.0000 0.0000 0.0000 4.5956 0.0000 0.0000 0.0000 4.4580" Properties=species:S:1:pos:R:3 pbc="T T T"
Mn 0.0000 0.0000 0.0000
Si 2.2978 2.2978 2.2290
S 0.0000 2.2978 0.0000
S 2.2978 0.0000 0.0000
Cl 0.0000 0.0000 2.2290
```



[3]
Below is a geometry-optimized MnSiSCl2 structure, with properties calculated at the PBEsol level.

Summary:
magnetization	4.05	μB/f.u.
E_form (uncorrected)	0.8	meV per atom
E above lowest polymorph	0.000	eV per formula unit
symmetry	No. 123

Structure (extended XYZ):
```
5
Lattice="4.5979 0.0000 0.0000 0.0000 4.5979 0.0000 0.0000 0.0000 4.7328" Properties=species:S:1:pos:R:3 pbc="T T T"
Mn 0.0000 0.0000 0.0000
Si 2.2990 2.2990 2.3664
S 0.0000 0.0000 2.3664
Cl 0.0000 2.2990 0.0000
Cl 2.2990 0.0000 0.0000
```



[4]
Below is a geometry-optimized TaMnSCl2 structure, with properties calculated at the PBEsol level.

Summary:
magnetization	6.94	μB/f.u.
E_form (uncorrected)	513.6	meV per atom
symmetry	No. 123

Structure (extended XYZ):
```
5
Lattice="4.4903 0.0000 0.0000 0.0000 4.4903 0.0000 0.0000 0.0000 4.7494" Properties=species:S:1:pos:R:3 pbc="T T T"
Ta 0.0000 0.0000 0.0000
Mn 2.2451 2.2451 2.3747
S 2.2451 2.2451 0.0000
Cl 0.0000 2.2451 2.3747
Cl 2.2451 0.0000 2.3747
```



[5]
Below is a geometry-optimized MnTeSCl2 structure, with properties calculated at the PBEsol level.

Summary:
magnetization	5.72	μB/f.u.
E_form (uncorrected)	409.0	meV per atom
symmetry	No. 123

Structure (extended XYZ):
```
5
Lattice="5.2504 0.0000 0.0000 0.0000 5.2504 0.0000 0.0000 0.0000 5.1267" Properties=species:S:1:pos:R:3 pbc="T T T"
Mn 0.0000 0.0000 0.0000
Te 2.6252 2.6252 2.5634
S 2.6252 2.6252 0.0000
Cl 0.0000 2.6252 2.5634
Cl 2.6252 0.0000 2.5634
```



[6]
Below is a geometry-optimized MnZnSCl2 structure, with properties calculated at the PBEsol level.

Summary:
magnetization	5.05	μB/f.u.
E_form (uncorrected)	-73.8	meV per atom
symmetry	No. 123

Structure (extended XYZ):
```
5
Lattice="4.5793 0.0000 0.0000 0.0000 4.5793 0.0000 0.0000 0.0000 4.9343" Properties=species:S:1:pos:R:3 pbc="T T T"
Mn 0.0000 0.0000 0.0000
Zn 2.2897 2.2897 2.4671
S 2.2897 2.2897 0.0000
Cl 0.0000 2.2897 2.4671
Cl 2.2897 0.0000 2.4671
```